# 1
Density functional theory data (GGA-PBE) for an optimized crystal structure of TbPuTlPd.

Structure (CIF):
```
data_TbPuTlPd
_chemical_formula_sum 'Tb1 Pu1 Tl1 Pd1'
_cell_length_a 5.214
_cell_length_b 5.214
_cell_length_c 5.214
_cell_angle_alpha 60.00
_cell_angle_beta 60.00
_cell_angle_gamma 60.00
_space_group_name_H-M_alt 'P 1'
_space_group_IT_number 1
_space_group_name_Hall 'P 1'
loop_
_atom_site_label
_atom_site_type_symbol
_atom_site_fract_x
_atom_site_fract_y
_atom_site_fract_z
_atom_site_occupancy
Pu1 Pu 0.750 0.750 0.750 1
Tb1 Tb 0.250 0.250 0.250 1
Pd1 Pd 0.000 0.000 0.000 1
Tl1 Tl 0.500 0.500 0.500 1
```

For the total energy, the calculation gives -27.65 eV for the cell shown. The value obtained for the formation energy is -0.28 eV/atom. The value obtained for the total magnetic moment is 5.628 μB per cell.

***

# 2
Density functional theory data (GGA-PBE) for an optimized crystal structure of TbPuZnPd.

Structure (CIF):
```
data_TbPuZnPd
_chemical_formula_sum 'Tb1 Pu1 Zn1 Pd1'
_cell_length_a 5.032
_cell_length_b 5.032
_cell_length_c 5.032
_cell_angle_alpha 60.00
_cell_angle_beta 60.00
_cell_angle_gamma 60.00
_space_group_name_H-M_alt 'P 1'
_space_group_IT_number 1
_space_group_name_Hall 'P 1'
loop_
_atom_site_label
_atom_site_type_symbol
_atom_site_fract_x
_atom_site_fract_y
_atom_site_fract_z
_atom_site_occupancy
Tb1 Tb 0.000 0.000 0.000 1
Pd1 Pd 0.250 0.250 0.250 1
Pu1 Pu 0.500 0.500 0.500 1
Zn1 Zn 0.750 0.750 0.750 1
```

For the total energy, the calculation gives -26.88 eV for the cell shown. The value obtained for the formation energy is -0.36 eV/atom. The value obtained for the total magnetic moment is 5.571 μB per cell.

***

# 3
Density functional theory data (GGA-PBE) for an optimized crystal structure of Pu4TcPd3.

Structure (CIF):
```
data_Pu4TcPd3
_chemical_formula_sum 'Pu4 Tc1 Pd3'
_cell_length_a 3.129
_cell_length_b 5.168
_cell_length_c 10.322
_cell_angle_alpha 90.00
_cell_angle_beta 90.00
_cell_angle_gamma 90.00
_space_group_name_H-M_alt 'P 1'
_space_group_IT_number 1
_space_group_name_Hall 'P 1'
loop_
_atom_site_label
_atom_site_type_symbol
_atom_site_fract_x
_atom_site_fract_y
_atom_site_fract_z
_atom_site_occupancy
Pu1 Pu 0.000 0.000 0.500 1
Pd1 Pd 0.500 0.000 0.752 1
Pu2 Pu 0.000 0.500 0.763 1
Pu3 Pu 0.000 0.000 0.000 1
Pd2 Pd 0.500 0.500 0.500 1
Pd3 Pd 0.500 0.000 0.248 1
Pu4 Pu 0.000 0.500 0.237 1
Tc1 Tc 0.500 0.500 0.000 1
```

For the total energy, the calculation gives -85.47 eV for the cell shown. The value obtained for the formation energy is -0.28 eV/atom. The value obtained for the total magnetic moment is 9.431 μB per cell.

***

# 4
Density functional theory data (GGA-PBE) for an optimized crystal structure of Pu3Tc2Pd.

Structure (CIF):
```
data_Pu3Tc2Pd
_chemical_formula_sum 'Pu3 Tc2 Pd1'
_cell_length_a 3.326
_cell_length_b 3.326
_cell_length_c 10.787
_cell_angle_alpha 90.00
_cell_angle_beta 90.00
_cell_angle_gamma 90.00
_space_group_name_H-M_alt 'P 1'
_space_group_IT_number 1
_space_group_name_Hall 'P 1'
loop_
_atom_site_label
_atom_site_type_symbol
_atom_site_fract_x
_atom_site_fract_y
_atom_site_fract_z
_atom_site_occupancy
Pd1 Pd 0.500 0.500 0.500 1
Pu1 Pu 0.000 0.000 0.000 1
Tc1 Tc 0.500 0.500 0.159 1
Pu2 Pu 0.000 0.000 0.322 1
Pu3 Pu 0.000 0.000 0.678 1
Tc2 Tc 0.500 0.500 0.841 1
```

For the total energy, the calculation gives -69.38 eV for the cell shown. The value obtained for the formation energy is -0.08 eV/atom. The value obtained for the total magnetic moment is 13.035 μB per cell.

***

# 5
Density functional theory data (GGA-PBE) for an optimized crystal structure of PuTc2Pd.

Structure (CIF):
```
data_PuTc2Pd
_chemical_formula_sum 'Pu1 Tc2 Pd1'
_cell_length_a 3.684
_cell_length_b 4.236
_cell_length_c 4.236
_cell_angle_alpha 90.00
_cell_angle_beta 90.00
_cell_angle_gamma 90.00
_space_group_name_H-M_alt 'P 1'
_space_group_IT_number 1
_space_group_name_Hall 'P 1'
loop_
_atom_site_label
_atom_site_type_symbol
_atom_site_fract_x
_atom_site_fract_y
_atom_site_fract_z
_atom_site_occupancy
Tc1 Tc 0.000 0.500 0.000 1
Tc2 Tc 0.000 0.000 0.500 1
Pd1 Pd 0.500 0.500 0.500 1
Pu1 Pu 0.500 0.000 0.000 1
```

For the total energy, the calculation gives -40.10 eV for the cell shown. The value obtained for the formation energy is 0.04 eV/atom. The value obtained for the total magnetic moment is 2.319 μB per cell.

***

# 6
Density functional theory data (GGA-PBE) for an optimized crystal structure of Pu2TcPd.

Structure (CIF):
```
data_Pu2TcPd
_chemical_formula_sum 'Pu2 Tc1 Pd1'
_cell_length_a 3.323
_cell_length_b 3.323
_cell_length_c 7.350
_cell_angle_alpha 90.00
_cell_angle_beta 90.00
_cell_angle_gamma 90.00
_space_group_name_H-M_alt 'P 1'
_space_group_IT_number 1
_space_group_name_Hall 'P 1'
loop_
_atom_site_label
_atom_site_type_symbol
_atom_site_fract_x
_atom_site_fract_y
_atom_site_fract_z
_atom_site_occupancy
Pu1 Pu 0.000 0.000 0.238 1
Pu2 Pu 0.000 0.000 0.762 1
Tc1 Tc 0.500 0.500 0.000 1
Pd1 Pd 0.500 0.500 0.500 1
```

For the total energy, the calculation gives -44.88 eV for the cell shown. The value obtained for the formation energy is -0.16 eV/atom. The value obtained for the total magnetic moment is 9.287 μB per cell.